(1)
# BPRhO2

A relaxed structure of BPRhO2 (PBE-GGA, Alexandria via LeMat-Bulk).

- Density: 3.70 g/cm3
- Crystal system: tetragonal
- Total DFT energy (no corrections): -30.41 eV per cell

Cell: 3.1455 3.1455 8.0048 Å, 90.00 90.00 90.00°
Sites, in units of the cell vectors:
B1 0.0000 0.0000 0.0000
P1 0.0000 0.0000 0.5000
Rh1 0.5000 0.5000 0.5000
O1 0.0000 0.5000 0.0000
O2 0.5000 0.0000 0.0000

(2)
# BP2RhO

A relaxed structure of BP2RhO (PBE-GGA, Alexandria via LeMat-Bulk).

- Density: 5.38 g/cm3
- Crystal system: tetragonal
- Total DFT energy (no corrections): -29.50 eV per cell

Cell: 4.6185 4.6185 2.7709 Å, 90.00 90.00 90.00°
Sites, in units of the cell vectors:
B1 0.0000 0.0000 0.0000
P1 0.0000 0.5000 0.0000
P2 0.5000 0.0000 0.0000
Rh1 0.5000 0.5000 0.5000
O1 0.0000 0.0000 0.5000

(3)
# BP2RuO

A relaxed structure of BP2RuO (PBE-GGA, Alexandria via LeMat-Bulk).

- Density: 3.93 g/cm3
- Crystal system: tetragonal
- Total DFT energy (no corrections): -26.89 eV per cell

Cell: 4.7066 4.7066 3.6226 Å, 90.00 90.00 90.00°
Sites, in units of the cell vectors:
B1 0.0000 0.0000 0.0000
P1 0.0000 0.5000 0.5000
P2 0.5000 0.0000 0.5000
Ru1 0.5000 0.5000 0.5000
O1 0.5000 0.5000 0.0000

(4)
# BP2RuO

A relaxed structure of BP2RuO (PBE-GGA, Alexandria via LeMat-Bulk).

- Density: 5.42 g/cm3
- Crystal system: tetragonal
- Total DFT energy (no corrections): -30.74 eV per cell

Cell: 4.5750 4.5750 2.7792 Å, 90.00 90.00 90.00°
Sites, in units of the cell vectors:
B1 0.0000 0.0000 0.0000
P1 0.0000 0.5000 0.0000
P2 0.5000 0.0000 0.0000
Ru1 0.5000 0.5000 0.5000
O1 0.0000 0.0000 0.5000

(5)
# BPSO2

A relaxed structure of BPSO2 (PBE-GGA, Alexandria via LeMat-Bulk).

- Density: 3.24 g/cm3
- Crystal system: tetragonal
- Total DFT energy (no corrections): -22.56 eV per cell

Cell: 3.3661 3.3661 4.7936 Å, 90.00 90.00 90.00°
Sites, in units of the cell vectors:
B1 0.0000 0.0000 0.0000
P1 0.5000 0.5000 0.0000
S1 0.5000 0.5000 0.5000
O1 0.0000 0.5000 0.5000
O2 0.5000 0.0000 0.5000

(6)
# BPSO2

A relaxed structure of BPSO2 (PBE-GGA, Alexandria via LeMat-Bulk).

- Density: 2.56 g/cm3
- Crystal system: tetragonal
- Total DFT energy (no corrections): -26.94 eV per cell

Cell: 3.1115 3.1115 7.0969 Å, 90.00 90.00 90.00°
Sites, in units of the cell vectors:
B1 0.0000 0.0000 0.0000
P1 0.0000 0.0000 0.5000
S1 0.5000 0.5000 0.5000
O1 0.0000 0.5000 0.0000
O2 0.5000 0.0000 0.0000

(7)
# ScBP2O

A relaxed structure of ScBP2O (PBE-GGA, Alexandria via LeMat-Bulk).

- Density: 2.21 g/cm3
- Crystal system: tetragonal
- Total DFT energy (no corrections): -25.34 eV per cell

Cell: 5.1465 5.1465 3.7964 Å, 90.00 90.00 90.00°
Sites, in units of the cell vectors:
Sc1 0.0000 0.0000 0.0000
B1 0.5000 0.5000 0.5000
P1 0.0000 0.5000 0.0000
P2 0.5000 0.0000 0.0000
O1 0.0000 0.0000 0.5000

(8)
# ScBP2O

A relaxed structure of ScBP2O (PBE-GGA, Alexandria via LeMat-Bulk).

- Density: 3.32 g/cm3
- Crystal system: tetragonal
- Total DFT energy (no corrections): -29.03 eV per cell

Cell: 3.7719 3.7719 4.7016 Å, 90.00 90.00 90.00°
Sites, in units of the cell vectors:
Sc1 0.0000 0.0000 0.0000
B1 0.5000 0.5000 0.5000
P1 0.0000 0.5000 0.5000
P2 0.5000 0.0000 0.5000
O1 0.5000 0.5000 0.0000